Entry 1:
Entry from the Alexandria database: NdCd2Au after structural relaxation (GGA-PBE).

Lattice parameters (Å, degrees): 4.4072 4.4072 5.0455 90.00 90.00 90.00
Fractional coordinates of all 4 atoms:
Nd: 0.0000 0.0000 0.0000
Cd: 0.0000 0.5000 0.5000
Cd: 0.5000 0.0000 0.5000
Au: 0.5000 0.5000 0.0000

Values from the calculation:
* size of the total moment: 0.00 μB/atom
* space group: P4/mmm
* calculated total energy: -2.846 eV/atom
* V: 98.00 Å³/cell

***

Entry 2:
Entry from the Alexandria database: Nd4Cd3Au after structural relaxation (GGA-PBE).

Lattice parameters (Å, degrees): 3.8188 3.8188 15.2871 90.00 90.00 90.00
Fractional coordinates of all 8 atoms:
Nd: 0.0000 0.0000 0.1155
Nd: 0.0000 0.0000 0.3720
Nd: 0.0000 0.0000 0.6280
Nd: 0.0000 0.0000 0.8845
Cd: 0.5000 0.5000 0.2478
Cd: 0.5000 0.5000 0.5000
Cd: 0.5000 0.5000 0.7522
Au: 0.5000 0.5000 0.0000

Values from the calculation:
* size of the total moment: 0.01 μB/atom
* space group: P4/mmm
* calculated total energy: -3.565 eV/atom
* V: 222.93 Å³/cell

***

Entry 3:
Entry from the Alexandria database: NdCd4Au2 after structural relaxation (GGA-PBE).

Lattice parameters (Å, degrees): 8.6322 8.6322 4.3651 90.00 90.00 90.00
Fractional coordinates of all 14 atoms:
Nd: 0.0000 0.0000 0.0000
Nd: 0.5000 0.5000 0.5000
Cd: 0.0988 0.3460 0.5000
Cd: 0.1540 0.5988 0.0000
Cd: 0.3460 0.0988 0.5000
Cd: 0.4012 0.8460 0.0000
Cd: 0.5988 0.1540 0.0000
Cd: 0.6540 0.9012 0.5000
Cd: 0.8460 0.4012 0.0000
Cd: 0.9012 0.6540 0.5000
Au: 0.1826 0.8174 0.5000
Au: 0.3174 0.3174 0.0000
Au: 0.6826 0.6826 0.0000
Au: 0.8174 0.1826 0.5000

Values from the calculation:
* size of the total moment: 0.00 μB/atom
* space group: P4_2/mnm
* calculated total energy: -2.497 eV/atom
* V: 325.27 Å³/cell

***

Entry 4:
Entry from the Alexandria database: Nd3Cd2Au3 after structural relaxation (GGA-PBE).

Lattice parameters (Å, degrees): 10.8355 10.8355 10.8355 160.23 152.09 34.44
Fractional coordinates of all 8 atoms:
Nd: 0.0000 0.0000 0.0000
Nd: 0.3704 0.8704 0.5000
Nd: 0.6296 0.1296 0.5000
Cd: 0.2352 0.2352 0.0000
Cd: 0.7648 0.7648 0.0000
Au: 0.1210 0.6210 0.5000
Au: 0.5000 0.5000 0.0000
Au: 0.8790 0.3790 0.5000

Values from the calculation:
* size of the total moment: 0.00 μB/atom
* space group: Immm
* calculated total energy: -3.818 eV/atom
* V: 201.26 Å³/cell

***

Entry 5:
Entry from the Alexandria database: NdCdAu after structural relaxation (GGA-PBE).

Lattice parameters (Å, degrees): 4.8867 4.8867 3.5448 90.00 90.00 120.00
Fractional coordinates of all 3 atoms:
Nd: 0.0000 0.0000 0.0000
Cd: 0.6667 0.3333 0.5000
Au: 0.3333 0.6667 0.5000

Values from the calculation:
* size of the total moment: 0.00 μB/atom
* space group: P-6m2
* calculated total energy: -3.560 eV/atom
* V: 73.31 Å³/cell

***

Entry 6:
Entry from the Alexandria database: NdCd2Au9 after structural relaxation (GGA-PBE).

Lattice parameters (Å, degrees): 9.6867 9.6867 9.6867 33.74 33.74 33.74
Fractional coordinates of all 12 atoms:
Nd: 0.0000 0.0000 0.0000
Cd: 0.1443 0.1443 0.1443
Cd: 0.8557 0.8557 0.8557
Au: 0.0812 0.5878 0.5878
Au: 0.3332 0.3332 0.3332
Au: 0.4122 0.4122 0.9188
Au: 0.4122 0.9188 0.4122
Au: 0.5000 0.5000 0.5000
Au: 0.5878 0.0812 0.5878
Au: 0.5878 0.5878 0.0812
Au: 0.6668 0.6668 0.6668
Au: 0.9188 0.4122 0.4122

Values from the calculation:
* size of the total moment: 0.00 μB/atom
* space group: R-3m
* calculated total energy: -3.242 eV/atom
* V: 249.79 Å³/cell

***

Entry 7:
Entry from the Alexandria database: Nd4Cd5Au2 after structural relaxation (GGA-PBE).

Lattice parameters (Å, degrees): 7.8322 3.7114 10.1626 90.00 94.22 90.00
Fractional coordinates of all 11 atoms:
Nd: 0.1663 0.0000 0.3695
Nd: 0.2477 0.0000 0.9452
Nd: 0.7523 0.0000 0.0548
Nd: 0.8337 0.0000 0.6305
Cd: 0.1942 0.5000 0.6557
Cd: 0.4472 0.5000 0.1971
Cd: 0.5000 0.5000 0.5000
Cd: 0.5528 0.5000 0.8029
Cd: 0.8058 0.5000 0.3443
Au: 0.0639 0.5000 0.1384
Au: 0.9361 0.5000 0.8616

Values from the calculation:
* size of the total moment: 0.00 μB/atom
* space group: P2/m
* calculated total energy: -3.191 eV/atom
* V: 294.60 Å³/cell

***

Entry 8:
Entry from the Alexandria database: Nd2Cd5Au after structural relaxation (GGA-PBE).

Lattice parameters (Å, degrees): 9.4774 9.4774 10.1844 90.00 90.00 153.65
Fractional coordinates of all 16 atoms:
Nd: 0.0000 0.0000 0.0000
Nd: 0.0000 0.0000 0.5000
Nd: 0.1775 0.8225 0.7500
Nd: 0.8225 0.1775 0.2500
Cd: 0.2060 0.7940 0.1049
Cd: 0.2060 0.7940 0.3951
Cd: 0.3649 0.6351 0.0254
Cd: 0.3649 0.6351 0.4746
Cd: 0.3948 0.6052 0.7500
Cd: 0.6052 0.3948 0.2500
Cd: 0.6351 0.3649 0.5254
Cd: 0.6351 0.3649 0.9746
Cd: 0.7940 0.2060 0.6049
Cd: 0.7940 0.2060 0.8951
Au: 0.4548 0.5452 0.2500
Au: 0.5452 0.4548 0.7500

Values from the calculation:
* size of the total moment: 0.00 μB/atom
* space group: Cmcm
* calculated total energy: -2.496 eV/atom
* V: 406.01 Å³/cell